DFT (PBE) results for Ac4Pr8Er after structural relaxation.

Properties
E in eV/atom: -4.058
Formation enthalpy at 0 K in kJ/mol of atoms: 48.1
Crystal system: trigonal

Geometry as extended XYZ:
```
13
Lattice="-6.0899 -2.8102 -9.5550 9.5511 6.6504 -0.9119 3.5274 -4.2259 6.1262" Properties=species:S:1:pos:R:3 pbc="T T T"
Ac 0.0000 0.0000 0.0000
Ac 8.3029 -0.9007 5.6702
Ac 1.7306 1.9201 -5.2334
Ac -3.0450 -1.4051 -4.7775
Pr 5.0624 2.4352 -3.9427
Pr 1.9262 -2.8209 -0.3980
Pr 0.2055 -0.7576 -3.3725
Pr 5.0032 -1.6028 4.4141
Pr 6.7830 0.3720 -0.9682
Pr 9.9145 1.8171 3.9452
Pr -2.9260 -2.2027 -8.2859
Pr 1.9854 1.2171 -8.7548
Er 6.5392 1.2123 2.6072
```

***

DFT (PBE) results for AcPr12Er3 after structural relaxation.

Properties
E in eV/atom: -4.679
Formation enthalpy at 0 K in kJ/mol of atoms: 1.8
Crystal system: tetragonal

Geometry as extended XYZ:
```
16
Lattice="5.2213 0.0000 0.0000 0.0000 5.2213 0.0000 0.0000 0.0000 20.8655" Properties=species:S:1:pos:R:3 pbc="T T T"
Ac 0.0000 0.0000 0.0000
Pr 2.6107 2.6107 0.0000
Pr 2.6107 2.6107 5.3312
Pr 2.6107 2.6107 10.4328
Pr 2.6107 2.6107 15.5344
Pr 2.6107 0.0000 2.7415
Pr 2.6107 0.0000 7.8709
Pr 2.6107 0.0000 12.9946
Pr 2.6107 0.0000 18.1240
Pr 0.0000 2.6107 2.7415
Pr 0.0000 2.6107 7.8709
Pr 0.0000 2.6107 12.9946
Pr 0.0000 2.6107 18.1240
Er 0.0000 0.0000 5.3021
Er 0.0000 0.0000 10.4328
Er 0.0000 0.0000 15.5634
```

***

DFT (PBE) results for AcPrEr5 after structural relaxation.

Properties
E in eV/atom: -4.434
Formation enthalpy at 0 K in kJ/mol of atoms: 9.1
Crystal system: monoclinic

Geometry as extended XYZ:
```
14
Lattice="-3.4703 1.6480 5.4205 -4.9730 1.1084 -4.2640 1.4480 -11.7507 0.4300" Properties=species:S:1:pos:R:3 pbc="T T T"
Ac 0.0000 0.0000 0.0000
Ac 0.7240 -5.8754 0.2150
Pr -3.1604 -7.4438 0.7412
Pr -3.8349 -1.5506 0.8453
Er -0.3161 -9.1186 2.2885
Er -4.6649 -4.6651 -0.4709
Er -1.5632 -3.4310 -1.2977
Er -2.6474 -7.2596 4.0471
Er -2.0459 -10.3624 -0.5599
Er -4.9495 1.3680 2.1464
Er -4.3479 -1.7348 -2.4605
Er -5.4321 -5.5633 2.8843
Er -2.3304 -4.3292 2.0574
Er -6.6792 0.1242 -0.7019
```

***

DFT (PBE) results for AcPrEr3 after structural relaxation.

Properties
E in eV/atom: -4.468
Formation enthalpy at 0 K in kJ/mol of atoms: 4.6
Crystal system: monoclinic

Geometry as extended XYZ:
```
20
Lattice="6.4162 0.0000 0.0000 0.0000 8.7440 -3.5877 0.0000 0.3286 12.2014" Properties=species:S:1:pos:R:3 pbc="T T T"
Ac 1.1104 8.4862 3.9492
Ac 4.3185 5.1227 8.9713
Ac 5.3058 0.5864 4.6644
Ac 2.0977 3.9499 -0.3576
Pr 4.2689 6.6381 3.4639
Pr 2.1473 2.4345 5.1498
Pr 5.3554 2.1018 -0.8430
Pr 1.0608 6.9708 9.4566
Er 5.3762 4.1521 5.6758
Er 4.2482 8.3598 -2.2188
Er 2.0997 5.8872 6.2246
Er 5.3078 7.7216 6.6959
Er 4.3165 3.1854 2.3891
Er 1.0401 4.9205 2.9379
Er 1.0601 3.2901 8.4582
Er 5.3562 5.7825 0.1555
Er 2.1681 0.7127 10.8325
Er 1.1084 1.3509 1.9178
Er 2.1481 7.4978 0.5637
Er 4.2682 1.5747 8.0500
```

***

DFT (PBE) results for AcPr2Er after structural relaxation.

Properties
E in eV/atom: -4.531
Energy relative to the lowest polymorph listed for this composition in eV/atom: 0.000
Formation enthalpy at 0 K in kJ/mol of atoms: 2.5
Crystal system: orthorhombic

Geometry as extended XYZ:
```
4
Lattice="-2.9895 2.2860 0.0895 -3.9952 -5.3504 3.2087 -0.5355 -0.9471 6.3064" Properties=species:S:1:pos:R:3 pbc="T T T"
Ac -1.7625 0.6694 3.1979
Pr 0.0000 0.0000 0.0000
Pr -1.9976 -2.6752 1.6043
Er -3.7601 -2.0058 4.8023
```

***

DFT (PBE) results for Ac5Pr2Er after structural relaxation.

Properties
E in eV/atom: -4.234
Formation enthalpy at 0 K in kJ/mol of atoms: 9.6
Crystal system: monoclinic

Geometry as extended XYZ:
```
16
Lattice="9.8173 0.0000 -4.1998 -1.0366 6.8176 -2.4232 -1.0622 -1.9893 11.0912" Properties=species:S:1:pos:R:3 pbc="T T T"
Ac 3.5436 1.5340 5.7554
Ac 8.3458 5.1132 -5.7203
Ac 0.4349 1.7044 -0.9027
Ac 7.2962 3.2008 1.2819
Ac 0.4223 1.6275 3.1863
Ac 6.2240 -0.2080 3.1739
Ac 1.4945 5.0363 1.2943
Ac 4.1748 3.2943 -1.2873
Ac 1.1970 4.9428 5.3260
Ac 6.5215 -0.1145 -0.8578
Pr 0.2339 1.6643 7.2446
Pr 4.5597 5.0731 3.9607
Pr 7.4846 3.1640 -2.7764
Pr 3.1588 -0.2448 0.5075
Er -0.5311 -0.9947 5.5456
Er 3.8592 2.4141 2.2341
```

***

DFT (PBE) results for AcPrEr2S4 after structural relaxation.

Properties
E in eV/atom: -6.295
Crystal system: monoclinic

Geometry as extended XYZ:
```
8
Lattice="3.9439 0.0000 0.0000 0.0000 7.2491 -0.2886 0.0000 2.4083 6.4231" Properties=species:S:1:pos:R:3 pbc="T T T"
Ac 1.9720 6.0329 6.2788
Pr 0.0000 4.8287 3.0673
Er 0.0000 2.4083 6.4231
Er 1.9719 1.2042 3.2116
S 0.0001 7.4375 4.4968
S 3.9439 2.2199 1.6377
S 1.9720 6.2303 1.3416
S 1.9720 3.4271 4.7929
```

***

DFT (PBE) results for AcPr2ErS6 after structural relaxation.

Properties
E in eV/atom: -6.336
Crystal system: trigonal

Geometry as extended XYZ:
```
10
Lattice="7.2413 0.0004 0.0009 3.6210 6.2708 0.0005 3.6211 2.0907 6.3399" Properties=species:S:1:pos:R:3 pbc="T T T"
Ac 10.8623 6.2712 3.6672
Pr 7.2419 4.1809 2.7100
Pr 3.6208 2.0910 6.0097
Er 3.6209 2.0902 0.2981
S 6.0316 1.8617 1.5802
S 5.8379 6.3879 1.5799
S 9.8557 4.2929 1.5809
S 8.1742 6.0065 4.7920
S 8.3562 2.4605 4.7922
S 5.1946 4.0764 4.7922
```

***

DFT (PBE) results for Ac2PrErS4 after structural relaxation.

Properties
E in eV/atom: -6.237
Crystal system: monoclinic

Geometry as extended XYZ:
```
8
Lattice="-3.4927 -2.0704 0.2807 0.7504 -0.3054 7.0834 -3.7386 6.0783 -1.6874" Properties=species:S:1:pos:R:3 pbc="T T T"
Ac -3.6157 2.0039 -0.7033
Ac -1.4941 2.8864 2.6980
Pr -1.3712 -1.1879 3.6821
Er 0.0000 0.0000 0.0000
S -2.4013 0.2392 1.3907
S -4.0796 3.4633 4.2860
S -2.6985 4.6120 0.4393
S -0.2897 1.1608 4.9567
```

***

DFT (PBE) results for Ac2PrErS6 after structural relaxation.

Properties
E in eV/atom: -6.318
Crystal system: trigonal

Geometry as extended XYZ:
```
10
Lattice="-0.1920 -0.0766 -7.3303 -4.3158 -4.7815 -3.5053 -6.1946 2.5574 -3.5327" Properties=species:S:1:pos:R:3 pbc="T T T"
Ac -4.9753 -1.4850 -7.1905
Ac -5.7909 2.1980 -3.5395
Pr -1.7886 -1.3647 -3.6070
Er -7.0949 -2.5550 -10.7919
S -2.5433 -0.2328 -6.0601
S -5.7421 -3.8356 -5.5636
S -4.4680 -2.3204 -9.9843
S -7.7560 -1.3950 -8.4415
S -5.2396 1.4247 -8.0677
S -6.6821 -0.2544 -4.9820
```

***

DFT (PBE) results for Ac2PrErSb4 after structural relaxation.

Properties
E in eV/atom: -5.412
Crystal system: monoclinic

Geometry as extended XYZ:
```
8
Lattice="4.6324 0.0000 0.0000 0.0000 8.0165 -0.1581 0.0000 2.8212 7.5042" Properties=species:S:1:pos:R:3 pbc="T T T"
Ac 0.0000 2.8212 7.5042
Ac 2.3162 1.4106 3.7521
Pr 2.3162 4.0083 -0.0791
Er 0.0000 5.4188 3.6731
Sb 0.0001 7.9913 5.5103
Sb 4.6324 2.8464 1.8358
Sb 2.3163 6.5848 1.8571
Sb 2.3162 4.2529 5.4889
```

***

DFT (PBE) results for AcPrErSc after structural relaxation.

Properties
E in eV/atom: -4.842
Formation enthalpy at 0 K in kJ/mol of atoms: 10.0
Crystal system: cubic

Geometry as extended XYZ:
```
4
Lattice="-1.5687 -3.6196 -4.1901 1.2750 -5.5972 0.4057 -4.1807 -3.8432 0.9331" Properties=species:S:1:pos:R:3 pbc="T T T"
Pr -1.1186 -3.2650 -0.7128
Sc 0.0000 0.0000 0.0000
Ac -3.3558 -9.7950 -2.1384
Er -2.2372 -6.5300 -1.4256
```